1.
GaRe3Bi: relaxed, PBE.

Cell: 5.009 5.009 5.009 Å, 90.00 90.00 90.00°
Fractional positions:
Re (0.000, 0.500, 0.000)
Re (0.000, 0.000, 0.500)
Re (0.500, 0.000, 0.000)
Bi (0.000, 0.000, 0.000)
Ga (0.500, 0.500, 0.500)

Results
Energy relative to the elements in kJ/mol of formula units: 1509
Distance to the lowest polymorph of the same formula in eV/atom: 1.267
Symmetry: Pm-3m (221)

---

2.
GaRe3Bi: relaxed, PBE.

Cell: 4.644 4.644 4.644 Å, 90.00 90.00 90.00°
Fractional positions:
Re (0.000, 0.500, 0.000)
Re (0.000, 0.000, 0.500)
Re (0.500, 0.000, 0.000)
Bi (0.500, 0.500, 0.500)
Ga (0.000, 0.000, 0.000)

Results
Energy relative to the elements in kJ/mol of formula units: 898
Distance to the lowest polymorph of the same formula in eV/atom: 0.000
Symmetry: Pm-3m (221)

---

3.
SrGa2ReBi: relaxed, PBE.

Cell: 4.940 5.775 4.940 Å, 90.00 90.00 90.00°
Fractional positions:
Re (0.000, 0.000, 0.000)
Bi (0.500, 0.500, 0.500)
Ga (0.000, 0.000, 0.500)
Ga (0.500, 0.000, 0.000)
Sr (0.000, 0.500, 0.000)

Results
Energy relative to the elements in kJ/mol of formula units: 212
Symmetry: P4/mmm (123)

---

4.
ZnGaRe2Bi: relaxed, PBE.

Cell: 4.653 5.199 4.653 Å, 90.00 90.00 90.00°
Fractional positions:
Re (0.000, 0.000, 0.500)
Re (0.500, 0.000, 0.000)
Zn (0.500, 0.500, 0.500)
Bi (0.000, 0.500, 0.000)
Ga (0.000, 0.000, 0.000)

Results
Energy relative to the elements in kJ/mol of formula units: 872
Symmetry: P4/mmm (123)

---

5.
GaBi2Rh: relaxed, PBE.

Cell: 6.314 6.314 7.736 Å, 65.92 65.92 90.00°
Fractional positions:
Rh (0.000, 0.000, 0.000)
Rh (0.750, 0.250, 0.500)
Bi (0.654, 0.125, 0.250)
Bi (0.096, 0.625, 0.250)
Bi (0.375, 0.346, 0.750)
Bi (0.875, 0.904, 0.750)
Ga (0.500, 0.500, 0.000)
Ga (0.250, 0.750, 0.500)

Results
Energy relative to the elements in kJ/mol of formula units: 78
Symmetry: I-42d (122)

---

6.
GaBi3Rh: relaxed, PBE.

Cell: 5.358 5.358 5.358 Å, 90.00 90.00 90.00°
Fractional positions:
Rh (0.000, 0.000, 0.000)
Bi (0.000, 0.500, 0.000)
Bi (0.000, 0.000, 0.500)
Bi (0.500, 0.000, 0.000)
Ga (0.500, 0.500, 0.500)

Results
Energy relative to the elements in kJ/mol of formula units: 165
Distance to the lowest polymorph of the same formula in eV/atom: 0.000
Symmetry: Pm-3m (221)

---

7.
GaBi2Rh: relaxed, PBE.

Cell: 3.406 3.406 10.496 Å, 80.66 80.66 60.00°
Fractional positions:
Rh (0.500, 0.500, 0.500)
Bi (0.102, 0.102, 0.695)
Bi (0.898, 0.898, 0.305)
Ga (0.000, 0.000, 0.000)

Results
Energy relative to the elements in kJ/mol of formula units: 42
Symmetry: R-3m (166)

---

8.
GaBi3Rh: relaxed, PBE.

Cell: 5.334 5.334 5.334 Å, 90.00 90.00 90.00°
Fractional positions:
Rh (0.500, 0.500, 0.500)
Bi (0.000, 0.500, 0.000)
Bi (0.000, 0.000, 0.500)
Bi (0.500, 0.000, 0.000)
Ga (0.000, 0.000, 0.000)

Results
Energy relative to the elements in kJ/mol of formula units: 465
Distance to the lowest polymorph of the same formula in eV/atom: 0.622
Symmetry: Pm-3m (221)

---

9.
GaBiRh2S: relaxed, PBE.

Cell: 4.592 5.399 4.592 Å, 90.00 90.00 90.00°
Fractional positions:
S (0.500, 0.500, 0.500)
Rh (0.000, 0.000, 0.500)
Rh (0.500, 0.000, 0.000)
Bi (0.000, 0.500, 0.000)
Ga (0.000, 0.000, 0.000)

Results
Raw formation energy in meV/atom: 826
Symmetry: P4/mmm (123)

---

10.
ScGaBiRh2: relaxed, PBE.

Cell: 4.967 5.176 4.967 Å, 90.00 90.00 90.00°
Fractional positions:
Sc (0.500, 0.500, 0.500)
Rh (0.000, 0.000, 0.500)
Rh (0.500, 0.000, 0.000)
Bi (0.000, 0.000, 0.000)
Ga (0.000, 0.500, 0.000)

Results
Energy relative to the elements in kJ/mol of formula units: 375
Symmetry: P4/mmm (123)

---

11.
GaSnBi2Rh: relaxed, PBE.

Cell: 5.739 5.054 5.739 Å, 90.00 90.00 90.00°
Fractional positions:
Rh (0.500, 0.500, 0.500)
Bi (0.000, 0.000, 0.500)
Bi (0.500, 0.000, 0.000)
Ga (0.000, 0.500, 0.000)
Sn (0.000, 0.000, 0.000)

Results
Energy relative to the elements in kJ/mol of formula units: 548
Symmetry: P4/mmm (123)

---

12.
Y2Ga2BiRh5: relaxed, PBE.

Cell: 3.663 9.886 9.886 Å, 90.00 90.00 90.00°
Fractional positions:
Y (0.000, 0.675, 0.175)
Y (0.000, 0.325, 0.825)
Y (0.000, 0.175, 0.325)
Y (0.000, 0.825, 0.675)
Ga (0.000, 0.121, 0.621)
Ga (0.000, 0.879, 0.379)
Ga (0.000, 0.621, 0.879)
Ga (0.000, 0.379, 0.121)
Bi (0.000, 0.000, 0.000)
Bi (0.000, 0.500, 0.500)
Rh (0.500, 0.213, 0.070)
Rh (0.500, 0.787, 0.930)
Rh (0.500, 0.070, 0.787)
Rh (0.500, 0.713, 0.430)
Rh (0.500, 0.930, 0.213)
Rh (0.500, 0.287, 0.570)
Rh (0.500, 0.570, 0.713)
Rh (0.500, 0.430, 0.287)
Rh (0.500, 0.500, 0.000)
Rh (0.500, 0.000, 0.500)

Results
Energy relative to the elements in kJ/mol of formula units: -720
Symmetry: P4/mbm (127)

---

Number 1: electronic total energy -5.72 eV/atom. Number 2: electronic total energy -6.99 eV/atom. Number 3: electronic total energy -4.37 eV/atom. Number 4: electronic total energy -4.81 eV/atom. Number 5: electronic total energy -4.33 eV/atom. Number 6: electronic total energy -4.06 eV/atom. Number 7: electronic total energy -4.42 eV/atom. Number 8: electronic total energy -3.44 eV/atom. Number 9: electronic total energy -4.32 eV/atom. Number 10: electronic total energy -4.81 eV/atom. Number 11: electronic total energy -3.29 eV/atom. Number 12: electronic total energy -6.71 eV/atom.